AlNi3C: optimized geometry, GGA-PBE.

abc: 4.226 4.226 4.226
angles: 90.00 90.00 90.00
Positions (direct):
Al 0.000 0.000 0.000
Ni 0.000 0.000 0.500
Ni 0.000 0.500 0.000
Ni 0.500 0.000 0.000
C 0.500 0.500 0.500

Properties
- calculated volume (Å³/cell) = 75.5
- M_tot (μB per formula unit) = 0.00
- E_tot (eV per cell) = -20.47



RbAlAu3: optimized geometry, GGA-PBE.

abc: 8.457 7.288 9.270
angles: 90.00 107.26 90.00
Positions (direct):
Rb 0.130 0.110 0.204
Rb 0.130 0.390 0.704
Rb 0.870 0.610 0.296
Rb 0.870 0.890 0.796
Al 0.416 0.749 0.600
Al 0.416 0.751 0.100
Al 0.584 0.249 0.900
Al 0.584 0.251 0.400
Au 0.145 0.577 0.077
Au 0.145 0.923 0.577
Au 0.383 0.544 0.363
Au 0.383 0.956 0.863
Au 0.487 0.100 0.625
Au 0.487 0.400 0.125
Au 0.513 0.600 0.875
Au 0.513 0.900 0.375
Au 0.617 0.044 0.137
Au 0.617 0.456 0.637
Au 0.855 0.077 0.423
Au 0.855 0.423 0.923

Properties
- calculated volume (Å³/cell) = 545.6
- offset from the most stable computed form (eV/f.u.) = 0.00
- M_tot (μB per formula unit) = 0.00